# 1
VASP calculation (PBE-GGA) on a relaxed CaBiWCl2 crystal.

The calculation puts the final energy at -19.73 eV for the cell shown.

Structure (POSCAR):
```
CaBiWCl2
1.0
-4.553 -2.837 -1.361
2.517 -1.819 -4.630
1.912 -4.395 2.766
Ca Cl W Bi
1 2 1 1
Direct
0.500 0.500 0.500
0.500 0.000 0.000
0.000 0.000 0.500
0.000 0.500 0.000
0.000 0.000 0.000
```



# 2
VASP calculation (PBE-GGA) on a relaxed Ca2CoBi2 crystal.

The energy relative to the elements comes out at -243 meV per atom.

Structure (POSCAR):
```
Ca2CoBi2
1.0
7.388 0.000 0.000
0.000 7.388 0.000
0.000 0.000 4.934
Bi Ca Co
4 4 2
Direct
0.155 0.345 0.000
0.655 0.155 0.000
0.845 0.655 0.000
0.345 0.845 0.000
0.166 0.666 0.500
0.334 0.166 0.500
0.834 0.334 0.500
0.666 0.834 0.500
0.000 0.000 0.000
0.500 0.500 0.000
```



# 3
VASP calculation (PBE-GGA) on a relaxed CaCoBi3 crystal.

The energy relative to the elements comes out at 38 meV per atom.

Structure (POSCAR):
```
CaCoBi3
1.0
5.255 0.000 0.000
0.000 5.255 0.000
0.000 0.000 5.255
Bi Co Ca
3 1 1
Direct
0.000 0.000 0.500
0.500 0.000 0.000
0.000 0.500 0.000
0.000 0.000 0.000
0.500 0.500 0.500
```



# 4
VASP calculation (PBE-GGA) on a relaxed Ca2Co2Bi crystal.

The energy relative to the elements comes out at -24 meV per atom.

Structure (POSCAR):
```
Ca2Co2Bi
1.0
-0.614 2.580 6.481
3.803 -5.331 2.482
3.786 2.420 -0.605
Ca Co Bi
4 4 2
Direct
0.676 0.824 0.500
0.176 0.676 0.500
0.824 0.324 0.500
0.324 0.176 0.500
0.112 0.388 0.000
0.888 0.612 0.000
0.612 0.112 0.000
0.388 0.888 0.000
0.500 0.500 0.000
0.000 0.000 0.000
```



# 5
VASP calculation (PBE-GGA) on a relaxed Ca3CoBi crystal.

The energy relative to the elements comes out at -141 meV per atom. The calculation puts the relative energy among the computed polymorphs at 0 meV per atom.

Structure (POSCAR):
```
Ca3CoBi
1.0
-1.666 -4.556 2.041
0.539 -2.303 -4.702
4.964 -1.280 1.195
Ca Co Bi
3 1 1
Direct
0.000 0.000 0.500
0.000 0.500 0.000
0.500 0.000 0.000
0.000 0.000 0.000
0.500 0.500 0.500
```



# 6
VASP calculation (PBE-GGA) on a relaxed CaCo2Bi2 crystal.

The energy relative to the elements comes out at 63 meV per atom.

Structure (POSCAR):
```
CaCo2Bi2
1.0
4.859 0.000 0.000
0.000 4.859 0.000
2.429 2.429 4.704
Co Bi Ca
2 2 1
Direct
0.381 0.381 0.237
0.619 0.619 0.763
0.250 0.750 0.500
0.750 0.250 0.500
0.000 0.000 0.000
```



# 7
VASP calculation (PBE-GGA) on a relaxed Ca3CoBi crystal.

The energy relative to the elements comes out at 493 meV per atom. The calculation puts the relative energy among the computed polymorphs at 634 meV per atom.

Structure (POSCAR):
```
Ca3CoBi
1.0
5.956 0.000 0.000
0.000 5.956 0.000
0.000 0.000 5.956
Ca Bi Co
3 1 1
Direct
0.000 0.000 0.500
0.500 0.000 0.000
0.000 0.500 0.000
0.000 0.000 0.000
0.500 0.500 0.500
```



# 8
VASP calculation (PBE-GGA) on a relaxed CaCoBi2 crystal.

The energy relative to the elements comes out at 84 meV per atom.

Structure (POSCAR):
```
CaCoBi2
1.0
0.000 3.661 3.661
3.661 0.000 3.661
3.661 3.661 0.000
Co Bi Ca
1 2 1
Direct
0.500 0.500 0.500
0.250 0.250 0.250
0.750 0.750 0.750
0.000 0.000 0.000
```



# 9
VASP calculation (PBE-GGA) on a relaxed CaCo2Bi crystal.

The energy relative to the elements comes out at 629 meV per atom.

Structure (POSCAR):
```
CaCo2Bi
1.0
7.551 0.000 0.000
0.000 7.551 0.000
3.776 3.776 3.035
Ca Bi Co
2 2 4
Direct
0.500 0.500 0.000
0.250 0.750 0.500
0.750 0.250 0.500
0.000 0.000 0.000
0.875 0.913 0.750
0.663 0.125 0.250
0.087 0.625 0.250
0.375 0.337 0.750
```



# 10
VASP calculation (PBE-GGA) on a relaxed CaCo2Bi2 crystal.

The energy relative to the elements comes out at 8 meV per atom.

Structure (POSCAR):
```
CaCo2Bi2
1.0
-2.334 3.505 1.419
-0.612 -1.996 3.923
3.357 3.168 4.652
Co Ca Bi
2 1 2
Direct
0.750 0.250 0.500
0.250 0.750 0.500
0.000 0.000 0.000
0.637 0.637 0.725
0.363 0.363 0.275
```



# 11
VASP calculation (PBE-GGA) on a relaxed CaCo3Bi crystal.

The energy relative to the elements comes out at 924 meV per atom. The calculation puts the relative energy among the computed polymorphs at 0 meV per atom.

Structure (POSCAR):
```
CaCo3Bi
1.0
-0.135 3.417 -3.456
-3.216 -2.656 -2.500
-3.645 2.216 2.334
Ca Co Bi
1 3 1
Direct
0.500 0.500 0.500
0.000 0.000 0.500
0.500 0.000 0.000
0.000 0.500 0.000
0.000 0.000 0.000
```



# 12
VASP calculation (PBE-GGA) on a relaxed CaCoBi2 crystal.

The energy relative to the elements comes out at -89 meV per atom.

Structure (POSCAR):
```
CaCoBi2
1.0
8.155 0.000 0.000
0.000 8.155 0.000
4.078 4.078 3.173
Bi Ca Co
4 2 2
Direct
0.703 0.125 0.250
0.375 0.297 0.750
0.047 0.625 0.250
0.875 0.953 0.750
0.500 0.500 0.000
0.250 0.750 0.500
0.000 0.000 0.000
0.750 0.250 0.500
```



# 13
VASP calculation (PBE-GGA) on a relaxed CaGaCoBi2 crystal.

The energy relative to the elements comes out at 774 meV per atom.

Structure (POSCAR):
```
CaGaCoBi2
1.0
5.447 0.000 0.000
0.000 5.453 0.000
0.000 0.000 5.447
Co Ga Bi Ca
1 1 2 1
Direct
0.500 0.500 0.500
0.000 0.000 0.000
0.500 0.000 0.000
0.000 0.000 0.500
0.000 0.500 0.000
```



# 14
VASP calculation (PBE-GGA) on a relaxed CaCo2GeBi crystal.

The energy relative to the elements comes out at 426 meV per atom.

Structure (POSCAR):
```
CaCo2GeBi
1.0
-1.459 -0.213 -4.292
2.597 -4.939 -0.638
-3.750 -2.150 1.381
Ca Bi Co Ge
1 1 2 1
Direct
0.500 0.500 0.500
0.000 0.500 0.000
0.000 0.000 0.500
0.500 0.000 0.000
0.000 0.000 0.000
```



# 15
VASP calculation (PBE-GGA) on a relaxed CaLa2CoBi crystal.

The energy relative to the elements comes out at -464 meV per atom.

Structure (POSCAR):
```
CaLa2CoBi
1.0
-3.268 -3.969 -0.463
2.247 -2.320 4.026
-3.573 2.539 3.458
Co La Bi Ca
1 2 1 1
Direct
0.000 0.000 0.000
0.500 0.000 0.000
0.000 0.500 0.000
0.500 0.500 0.500
0.000 0.000 0.500
```



# 16
VASP calculation (PBE-GGA) on a relaxed NaCa2CoBi crystal.

The energy relative to the elements comes out at 589 meV per atom.

Structure (POSCAR):
```
NaCa2CoBi
1.0
5.663 0.000 0.000
0.000 4.702 0.000
0.000 0.000 5.663
Bi Ca Co Na
1 2 1 1
Direct
0.500 0.500 0.500
0.000 0.000 0.500
0.500 0.000 0.000
0.000 0.500 0.000
0.000 0.000 0.000
```



no.,M_tot (μB/f.u.)
1,3.45
2,0.83
3,1.30
4,2.57
5,0.00
6,2.01
7,1.68
8,1.23
9,2.60
10,1.62
11,3.94
12,0.00
13,2.08
14,2.73
15,0.00
16,1.44